Tm7Sn2C2 | PBE-GGA | optimized geometry

Cell lengths 3.4569, 14.5620, 10.2061 Å; angles 90.00, 90.00, 90.00 degrees
With the nearest neighbours (Å) after each atom.
Space group Imm2 (No. 44)
Unique sites:
Tm1 0.0000 0.0000 0.0000  3 Sn 3.18-3.29, 10 Tm 3.43-3.50, 2 C 3.50
Tm2 0.0000 0.1392 0.4331  2 C 2.50
Tm3 0.0000 0.3089 0.6203  2 C 2.55
Tm4 0.0000 0.3426 0.3152  2 C 2.49
Sn1 0.0000 0.0000 0.6772  7 Tm 3.20-3.29, 2 Sn 3.46
Sn2 0.0000 0.5000 0.7612  8 Tm 3.13-3.19, 2 Sn 3.46
C1 0.0000 0.2374 0.9493  6 Tm 2.49-2.55

DOS at the Fermi energy: 13.5 states/eV/cell
Final energy: -5.529 eV/atom
Spin magnetization: 0.00 μB per atom
Calculated density: 9.3 Mg/m³
Energy relative to the elements: -0.28 eV per atom

=====

ZrAl2Mo | PBE-GGA | optimized geometry

Cell lengths 2.8270, 4.2447, 5.7754 Å; angles 90.00, 97.96, 90.00 degrees
With the nearest neighbours (Å) after each atom.
Space group P2/m (No. 10)
Unique sites:
Zr1 0.0000 0.0000 0.0000  2 Zr 2.83, 2 Mo 2.89, 8 Al 2.92-3.05
Al1 0.4726 0.5000 0.7284  3 Al 2.66-2.83, 2 Mo 2.75, 2 Zr 2.92
Mo1 0.0000 0.0000 0.5000  8 Al 2.75-3.00, 2 Mo 2.83, 2 Zr 2.89

DOS at the Fermi energy: 2.7 states/eV/cell
Final energy: -6.986 eV/atom
Spin magnetization: 0.00 μB per atom
Calculated density: 5.8 Mg/m³
Energy relative to the elements: -0.27 eV per atom

=====

Zr2TaMn9 | PBE-GGA | optimized geometry

Cell lengths 4.8094, 4.8094, 24.1599 Å; angles 90.00, 90.00, 120.00 degrees
With the nearest neighbours (Å) after each atom.
Space group R-3m (No. 166, hexagonal axes)
Unique sites:
Zr1 0.0000 0.0000 0.1405  12 Mn 2.79-3.01, 3 Zr 3.05
Ta1 0.0000 0.0000 0.0000  18 Mn 2.78-3.11
Mn1 0.0000 0.0000 0.3352  6 Mn 2.40-2.43
Mn2 0.0000 0.0000 0.5000  6 Mn 2.50
Mn3 0.0081 0.5040 0.9184  7 Mn 2.35-2.50

DOS at the Fermi energy: 49.0 states/eV/cell
Final energy: -9.341 eV/atom
Spin magnetization: 0.43 μB per atom
Calculated density: 8.8 Mg/m³
Energy relative to the elements: -0.05 eV per atom

=====

Pm6Nd2SmY3 | PBE-GGA | optimized geometry

Cell lengths 6.3045, 10.9200, 12.0185 Å; angles 90.00, 100.05, 90.00 degrees
With the nearest neighbours (Å) after each atom.
Space group C2/m (No. 12)
Unique sites:
Pm1 0.2485 0.0000 0.2473  3 Y 3.60, 6 Pm 3.64, 1 Sm 3.65, 2 Nd 3.66
Pm2 0.2491 0.3335 0.2474  3 Y 3.60-3.61, 6 Pm 3.64, 2 Nd 3.65-3.66, 1 Sm 3.65
Nd1 0.0000 0.3333 0.5000  3 Nd 3.64, 3 Sm 3.64, 6 Pm 3.65-3.66
Sm1 0.0000 0.0000 0.5000  6 Nd 3.64, 6 Pm 3.65
Y1 0.0000 0.1665 0.0000  6 Pm 3.60-3.61, 6 Y 3.64
Y2 0.0000 0.5000 0.0000  6 Pm 3.60, 6 Y 3.64

DOS at the Fermi energy: 33.2 states/eV/cell
Final energy: -5.166 eV/atom
Spin magnetization: 0.00 μB per atom
Calculated density: 6.4 Mg/m³
Energy relative to the elements: 0.01 eV per atom

=====

Cr4NiOs | PBE-GGA | optimized geometry

Cell lengths 6.6142, 6.6142, 6.6142 Å; angles 90.00, 90.00, 90.00 degrees
With the nearest neighbours (Å) after each atom.
Space group F-43m (No. 216)
Unique sites:
Cr1 0.1231 0.1231 0.1231  6 Cr 2.30-2.37
Ni1 0.2500 0.2500 0.7500  12 Cr 2.74, 4 Os 2.86
Os1 0.0000 0.0000 0.5000  12 Cr 2.75, 4 Ni 2.86

DOS at the Fermi energy: 15.2 states/eV/cell
Final energy: -9.165 eV/atom
Spin magnetization: 0.00 μB per atom
Calculated density: 10.5 Mg/m³
Energy relative to the elements: 0.09 eV per atom

=====

Pm2Tl4Cd | PBE-GGA | optimized geometry

Cell lengths 5.8038, 5.8038, 13.0730 Å; angles 90.00, 90.00, 90.00 degrees
With the nearest neighbours (Å) after each atom.
Space group I4/mmm (No. 139)
Unique sites:
Pm1 0.0000 0.0000 0.1421  8 Tl 3.23-3.45
Tl1 0.0000 0.5000 0.0000  2 Cd 2.90
Tl2 0.0000 0.5000 0.2500  4 Pm 3.23, 2 Tl 3.27
Cd1 0.0000 0.0000 0.5000  4 Tl 2.90

DOS at the Fermi energy: 10.4 states/eV/cell
Final energy: -2.862 eV/atom
Spin magnetization: 0.00 μB per atom
Calculated density: 9.2 Mg/m³
Energy relative to the elements: -0.02 eV per atom

=====

Ca3Pr2UN6 | PBE-GGA | optimized geometry

Cell lengths 6.2306, 10.8077, 6.1252 Å; angles 90.00, 109.91, 90.00 degrees
With the nearest neighbours (Å) after each atom.
Space group C2/m (No. 12)
Unique sites:
Ca1 0.0000 0.0000 0.0000  6 N 2.53-2.83
Ca2 0.0000 0.3392 0.0000  4 N 2.51-2.53
Pr1 0.0000 0.1673 0.5000  6 N 2.54-2.56
U1 0.0000 0.5000 0.5000  6 N 2.23-2.26
N1 0.2229 0.3516 0.7245  1 U 2.26
N2 0.2234 0.5000 0.2824  1 U 2.23

Final energy: -7.689 eV/atom
Spin magnetization: 0.00 μB per atom
Uncorrected formation energy: -1.288 eV/atom
Calculated density: 6.2 Mg/m³

=====

Li3Nd2Pt2 | PBE-GGA | optimized geometry

Cell lengths 10.3554, 4.1364, 7.1556 Å; angles 90.00, 99.41, 90.00 degrees
With the nearest neighbours (Å) after each atom.
Space group C2/m (No. 12)
Unique sites:
Li1 0.0000 0.0000 0.0000  2 Pt 2.74, 4 Li 3.06
Li2 0.1905 0.5000 0.8857  2 Pt 2.66, 2 Li 2.79
Nd1 0.1186 0.5000 0.3567  5 Pt 2.94-3.07
Pt1 0.1013 0.0000 0.6690  3 Li 2.66-2.74, 1 Pt 2.93, 1 Nd 2.94

DOS at the Fermi energy: 7.6 states/eV/cell
Final energy: -4.538 eV/atom
Spin magnetization: 0.00 μB per atom
Calculated density: 7.7 Mg/m³
Energy relative to the elements: -0.63 eV per atom

=====

Among the records above, which one has the highest spin magnetization? Zr2TaMn9